The following is a PBE+U calculation of an optimized crystal structure of RbTl4Ni3F12, from Alexandria via LeMat-Bulk.

Computed properties:
Density of states at the Fermi level, states/eV per cell: 15.6
Crystal system: cubic
Symmetry: Im-3m, No. 229

Cell lengths 7.5280, 7.5280, 7.5280 Å; angles 109.47, 109.47, 109.47 degrees
With the nearest neighbours (Å) after each atom.
Element x y z (fractional)
Tl  0.0000  0.5000  0.0000  12 F 3.07-3.09
F  0.2500  0.7500  0.5000  2 Ni 2.17
F  0.7145  0.0000  0.7145  1 Ni 1.86
F  0.5000  0.2500  0.7500  2 Ni 2.17
F  0.7145  0.7145  0.0000  1 Ni 1.86
F  0.2855  0.0000  0.2855  1 Ni 1.86
Tl  0.5000  0.0000  0.0000  12 F 3.07-3.09
F  0.7500  0.5000  0.2500  2 Ni 2.17
Ni  0.5000  0.5000  0.0000  2 F 1.86
F  0.2855  0.2855  0.0000  1 Ni 1.86
F  0.0000  0.2855  0.2855  1 Ni 1.86
Ni  0.0000  0.5000  0.5000  2 F 1.86
F  0.7500  0.2500  0.5000  2 Ni 2.17
Tl  0.5000  0.5000  0.5000  12 F 3.07-3.09
Rb  0.0000  0.0000  0.0000  6 F 2.48
F  0.5000  0.7500  0.2500  2 Ni 2.17
Tl  0.0000  0.0000  0.5000  12 F 3.07-3.09
F  0.0000  0.7145  0.7145  1 Ni 1.86
Ni  0.5000  0.0000  0.5000  2 F 1.86
F  0.2500  0.5000  0.7500  2 Ni 2.17

=====

The following is a PBE+U calculation of an optimized crystal structure of Rb4TlNi3F12, from Alexandria via LeMat-Bulk.

Computed properties:
Density of states at the Fermi level, states/eV per cell: 0.9
Crystal system: cubic
Symmetry: Im-3m, No. 229

Cell lengths 7.4248, 7.4248, 7.4248 Å; angles 109.47, 109.47, 109.47 degrees
With the nearest neighbours (Å) after each atom.
Element x y z (fractional)
F  0.7500  0.5000  0.2500  2 Ni 2.14
F  0.0000  0.7274  0.7274  1 Ni 1.95
F  0.5000  0.7500  0.2500  2 Ni 2.14
F  0.0000  0.2726  0.2726  1 Ni 1.95
F  0.7274  0.0000  0.7274  1 Ni 1.95
Rb  0.5000  0.0000  0.0000  12 F 3.03-3.04
F  0.2500  0.7500  0.5000  2 Ni 2.14
Tl  0.0000  0.0000  0.0000  6 F 2.34
F  0.7500  0.2500  0.5000  2 Ni 2.14
F  0.7274  0.7274  0.0000  1 Ni 1.95
Rb  0.0000  0.5000  0.0000  12 F 3.03-3.04
F  0.2500  0.5000  0.7500  2 Ni 2.14
F  0.5000  0.2500  0.7500  2 Ni 2.14
F  0.2726  0.2726  0.0000  1 Ni 1.95
Ni  0.0000  0.5000  0.5000  6 F 1.95-2.14
Rb  0.5000  0.5000  0.5000  12 F 3.03-3.04
F  0.2726  0.0000  0.2726  1 Ni 1.95
Rb  0.0000  0.0000  0.5000  12 F 3.03-3.04
Ni  0.5000  0.0000  0.5000  6 F 1.95-2.14
Ni  0.5000  0.5000  0.0000  6 F 1.95-2.14

=====

The following is a PBE+U calculation of an optimized crystal structure of RbTmNiF6, from Alexandria via LeMat-Bulk.

Computed properties:
Density of states at the Fermi level, states/eV per cell: 0.0
Crystal system: orthorhombic
Symmetry: Imma, No. 74

Cell lengths 7.9821, 7.5773, 7.7228 Å; angles 119.38, 121.12, 90.00 degrees
With the nearest neighbours (Å) after each atom.
Element x y z (fractional)
F  0.4498  0.0926  0.2618  1 Ni 2.05, 1 Tm 2.13
Rb  0.8104  0.5604  0.6208  1 F 2.80
Ni  0.5000  0.0000  0.0000  6 F 1.98-2.05
F  0.1711  0.9211  0.3421  2 Tm 2.17
F  0.4481  0.6981  0.8962  2 Ni 1.98
F  0.5502  0.9074  0.7382  1 Ni 2.05, 1 Tm 2.13
F  0.5502  0.3308  0.7382  1 Ni 2.05, 1 Tm 2.13
Ni  0.5000  0.5000  0.0000  6 F 1.98-2.05
F  0.8289  0.0789  0.6579  2 Tm 2.17
F  0.1880  0.3308  0.7382  1 Ni 2.05, 1 Tm 2.13
Tm  0.5000  0.0000  0.5000  6 F 2.13-2.17
F  0.8120  0.0926  0.2618  1 Ni 2.05, 1 Tm 2.13
F  0.1880  0.9074  0.7382  1 Ni 2.05, 1 Tm 2.13
F  0.5519  0.3019  0.1038  2 Ni 1.98
F  0.4498  0.6692  0.2618  1 Ni 2.05, 1 Tm 2.13
Rb  0.1896  0.4396  0.3792  1 F 2.80
F  0.8120  0.6692  0.2618  1 Ni 2.05, 1 Tm 2.13
Tm  0.0000  0.0000  0.5000  6 F 2.13-2.17

=====

The following is a PBE+U calculation of an optimized crystal structure of Rb2TmNiF6, from Alexandria via LeMat-Bulk.

Computed properties:
Density of states at the Fermi level, states/eV per cell: 0.0
Crystal system: monoclinic
Symmetry: C2/m, No. 12

Cell lengths 6.5474, 6.5474, 6.5484 Å; angles 54.21, 54.21, 80.23 degrees
With the nearest neighbours (Å) after each atom.
Element x y z (fractional)
Ni  0.0000  0.0000  0.0000  4 F 2.08
F  0.2488  0.2487  0.5068  1 Ni 2.08, 1 Tm 2.14
Rb  0.2506  0.7494  0.5000  12 F 3.00-3.29
Rb  0.7494  0.2506  0.5000  12 F 3.00-3.29
F  0.7148  0.7147  0.9963  1 Tm 2.13
F  0.2465  0.7535  0.0001  1 Ni 2.08, 1 Tm 2.14
Tm  0.5000  0.5000  0.0000  6 F 2.13-2.14
F  0.7512  0.7513  0.4932  1 Ni 2.08, 1 Tm 2.14
F  0.7535  0.2465  0.9999  1 Ni 2.08, 1 Tm 2.14
F  0.2852  0.2853  0.0037  1 Tm 2.13

=====

The following is a PBE+U calculation of an optimized crystal structure of Rb2V3NiF12, from Alexandria via LeMat-Bulk.

Computed properties:
Density of states at the Fermi level, states/eV per cell: 5.7
Crystal system: trigonal
Symmetry: R-3m, No. 166

Cell lengths 7.4119, 7.4119, 7.4119 Å; angles 60.72, 60.72, 60.72 degrees
With the nearest neighbours (Å) after each atom.
Element x y z (fractional)
F  0.6790  0.6790  0.0751  2 V 2.02
F  0.9249  0.3210  0.3210  2 V 2.02
F  0.0732  0.0732  0.6757  1 V 1.99, 1 Ni 2.03
V  0.5000  0.0000  0.0000  6 F 1.99-2.02
F  0.3243  0.9268  0.9268  1 V 1.99, 1 Ni 2.03
F  0.6757  0.0732  0.0732  1 V 1.99, 1 Ni 2.03
F  0.3210  0.9249  0.3210  2 V 2.02
V  0.0000  0.5000  0.0000  6 F 1.99-2.02
F  0.0732  0.6757  0.0732  1 V 1.99, 1 Ni 2.03
V  0.0000  0.0000  0.5000  6 F 1.99-2.02
Ni  0.0000  0.0000  0.0000  6 F 2.03
F  0.9268  0.3243  0.9268  1 V 1.99, 1 Ni 2.03
F  0.6790  0.0751  0.6790  2 V 2.02
Rb  0.6285  0.6285  0.6285  6 F 3.15-3.24
Rb  0.3715  0.3715  0.3715  6 F 3.15-3.24
F  0.0751  0.6790  0.6790  2 V 2.02
F  0.9268  0.9268  0.3243  1 V 1.99, 1 Ni 2.03
F  0.3210  0.3210  0.9249  2 V 2.02

=====

The following is a PBE+U calculation of an optimized crystal structure of RbVNiF6, from Alexandria via LeMat-Bulk.

Computed properties:
Density of states at the Fermi level, states/eV per cell: 0.0
Crystal system: monoclinic
Symmetry: C2, No. 5

Cell lengths 5.3755, 5.4267, 6.0695 Å; angles 90.52, 90.27, 59.68 degrees
With the nearest neighbours (Å) after each atom.
Element x y z (fractional)
F  0.6276  0.3808  0.6793  1 V 2.00, 1 Ni 2.04
F  0.3843  0.6209  0.3176  1 V 1.97, 1 Ni 2.05
Ni  0.3330  0.3335  0.5000  6 F 2.03-2.05
F  0.9915  0.3849  0.3179  1 V 1.99, 1 Ni 2.03
F  0.6276  0.9915  0.3206  1 V 2.00, 1 Ni 2.04
Rb  0.9975  0.0012  0.0000  6 F 2.81-2.83
F  0.3844  0.9948  0.6824  1 V 1.97, 1 Ni 2.05
F  0.9915  0.6236  0.6821  1 V 1.99, 1 Ni 2.03
V  0.6624  0.6688  0.5000  6 F 1.97-2.00

=====

The following is a PBE+U calculation of an optimized crystal structure of Rb2YNiF6, from Alexandria via LeMat-Bulk.

Computed properties:
Density of states at the Fermi level, states/eV per cell: 0.0
Crystal system: tetragonal
Symmetry: I4/mmm, No. 139

Cell lengths 6.0221, 6.0221, 6.6087 Å; angles 62.90, 62.90, 90.00 degrees
With the nearest neighbours (Å) after each atom.
Element x y z (fractional)
F  0.2154  0.2154  0.5692  1 Y 2.18
Rb  0.2500  0.7500  0.5000  12 F 3.03-3.30
F  0.7438  0.2562  0.0000  1 Ni 2.08, 1 Y 2.18
Ni  0.5000  0.5000  0.0000  4 F 2.08
Rb  0.7500  0.2500  0.5000  12 F 3.03-3.30
F  0.7846  0.7846  0.4308  1 Y 2.18
F  0.2562  0.7438  0.0000  1 Ni 2.08, 1 Y 2.18
F  0.2562  0.2562  0.0000  1 Ni 2.08, 1 Y 2.18
F  0.7438  0.7438  0.0000  1 Ni 2.08, 1 Y 2.18
Y  0.0000  0.0000  0.0000  6 F 2.18

=====

The following is a PBE+U calculation of an optimized crystal structure of Rb2YNi3F12, from Alexandria via LeMat-Bulk.

Computed properties:
Density of states at the Fermi level, states/eV per cell: 1.5
Crystal system: trigonal
Symmetry: R-3m, No. 166

Cell lengths 7.4886, 7.4886, 7.4886 Å; angles 58.86, 58.86, 58.86 degrees
With the nearest neighbours (Å) after each atom.
Element x y z (fractional)
Rb  0.6146  0.6146  0.6146  9 F 3.09-3.44
Ni  0.0000  0.0000  0.5000  6 F 1.94-2.02
F  0.6955  0.6955  0.0859  2 Ni 1.94
Ni  0.5000  0.0000  0.0000  6 F 1.94-2.02
F  0.6409  0.0925  0.0925  1 Ni 2.02, 1 Y 2.20
F  0.0859  0.6955  0.6955  2 Ni 1.94
F  0.0925  0.0925  0.6409  1 Ni 2.02, 1 Y 2.20
Y  0.0000  0.0000  0.0000  6 F 2.20
F  0.0925  0.6409  0.0925  1 Ni 2.02, 1 Y 2.20
Rb  0.3854  0.3854  0.3854  9 F 3.09-3.44
F  0.6955  0.0859  0.6955  2 Ni 1.94
Ni  0.0000  0.5000  0.0000  6 F 1.94-2.02
F  0.9075  0.9075  0.3591  1 Ni 2.02, 1 Y 2.20
F  0.3045  0.3045  0.9141  2 Ni 1.94
F  0.9075  0.3591  0.9075  1 Ni 2.02, 1 Y 2.20
F  0.3591  0.9075  0.9075  1 Ni 2.02, 1 Y 2.20
F  0.9141  0.3045  0.3045  2 Ni 1.94
F  0.3045  0.9141  0.3045  2 Ni 1.94

=====

| no. | V (Å³ per cell) | E_tot (eV for the cell shown) |
| --- | --- | --- |
| 1 | 328.4 | -79.42 |
| 2 | 315.1 | -83.32 |
| 3 | 327.7 | -95.99 |
| 4 | 178.3 | -50.10 |
| 5 | 292.6 | -98.89 |
| 6 | 152.8 | -46.27 |
| 7 | 183.3 | -51.68 |
| 8 | 289.2 | -86.37 |